(1)
Density functional theory data (PBE) for a relaxed PrDy12Al3 crystal.

Unit cell a=4.799 b=4.799 c=19.660 alpha=90.00 beta=90.00 gamma=90.00
Space group P4/mmm (No. 123)
Unique sites:
1 Pr 0.000 0.000 0.000 (multiplicity 1)
2 Dy 0.000 0.500 0.137 (multiplicity 4)
3 Dy 0.000 0.500 0.379 (multiplicity 4)
4 Dy 0.500 0.500 0.000 (multiplicity 1)
5 Dy 0.500 0.500 0.259 (multiplicity 2)
6 Dy 0.500 0.500 0.500 (multiplicity 1)
7 Al 0.000 0.000 0.259 (multiplicity 2)
8 Al 0.000 0.000 0.500 (multiplicity 1)

(2)
Density functional theory data (PBE) for a relaxed Pr5DyAl2 crystal.

Unit cell a=5.4709 b=5.4709 c=20.2036 alpha=90.00 beta=90.00 gamma=120.00
Space group P6_3/mmc (No. 194)
Unique sites:
1 Pr 0.0000 0.0000 0.1547 (multiplicity 4)
2 Pr 0.3333 0.6667 0.0549 (multiplicity 4)
3 Pr 0.3333 0.6667 0.2500 (multiplicity 2)
4 Dy 0.3333 0.6667 0.7500 (multiplicity 2)
5 Al 0.3333 0.6667 0.6015 (multiplicity 4)

(3)
Density functional theory data (PBE) for a relaxed PrDyAl3 crystal.

Unit cell a=3.733 b=27.787 c=4.573 alpha=90.00 beta=90.00 gamma=90.00
Space group Cmcm (No. 63)
Unique sites:
1 Pr 0.000 0.073 0.250 (multiplicity 4)
2 Dy 0.000 0.211 0.750 (multiplicity 4)
3 Al 0.000 0.326 0.750 (multiplicity 4)
4 Al 0.000 0.379 0.250 (multiplicity 4)
5 Al 0.000 0.476 0.250 (multiplicity 4)

(4)
Density functional theory data (PBE) for a relaxed PrDy5Al6 crystal.

Unit cell a=5.118 b=15.374 c=7.270 alpha=90.00 beta=90.00 gamma=90.00
Space group Cmmm (No. 65)
Unique sites:
1 Pr 0.000 0.000 0.000 (multiplicity 2)
2 Dy 0.000 0.000 0.500 (multiplicity 2)
3 Dy 0.000 0.332 0.000 (multiplicity 4)
4 Dy 0.000 0.336 0.500 (multiplicity 4)
5 Al 0.000 0.170 0.257 (multiplicity 8)
6 Al 0.000 0.500 0.255 (multiplicity 4)

(5)
Density functional theory data (PBE) for a relaxed PrDy4Al5 crystal.

Unit cell a=3.627 b=3.627 c=18.190 alpha=90.00 beta=90.00 gamma=90.00
Space group P4/mmm (No. 123)
Unique sites:
1 Pr 0.000 0.000 0.000 (multiplicity 1)
2 Dy 0.000 0.000 0.206 (multiplicity 2)
3 Dy 0.000 0.000 0.402 (multiplicity 2)
4 Al 0.500 0.500 0.110 (multiplicity 2)
5 Al 0.500 0.500 0.304 (multiplicity 2)
6 Al 0.500 0.500 0.500 (multiplicity 1)

(6)
Density functional theory data (PBE) for a relaxed Pr2DyAl6 crystal.

Properties
relative energy among the computed polymorphs = 0.000 eV per atom

Unit cell a=7.9690 b=7.9690 c=3.6906 alpha=90.00 beta=90.00 gamma=120.00
Space group P6/mmm (No. 191)
Unique sites:
1 Pr 0.3333 0.6667 0.0000 (multiplicity 2)
2 Dy 0.0000 0.0000 0.0000 (multiplicity 1)
3 Al 0.0000 0.3307 0.5000 (multiplicity 6)

(7)
Density functional theory data (PBE) for a relaxed PrDy2Al9 crystal.

Unit cell a=5.6138 b=5.6138 c=26.3178 alpha=90.00 beta=90.00 gamma=120.00
Space group R-3m (No. 166, hexagonal axes)
Unique sites:
1 Pr 0.0000 0.0000 0.0000 (multiplicity 3)
2 Dy 0.0000 0.0000 0.1419 (multiplicity 6)
3 Al 0.0000 0.0000 0.3357 (multiplicity 6)
4 Al 0.0000 0.0000 0.5000 (multiplicity 3)
5 Al 0.0078 0.5039 0.9161 (multiplicity 18)

(8)
Density functional theory data (PBE) for a relaxed PrDy3Al8 crystal.

Properties
relative energy among the computed polymorphs = 0.009 eV per atom

Unit cell a=5.5892 b=5.5892 c=9.1969 alpha=90.00 beta=90.00 gamma=120.00
Space group P3m1 (No. 156)
Unique sites:
1 Pr 0.0000 0.0000 0.0000 (multiplicity 1)
2 Dy 0.0000 0.0000 0.3644 (multiplicity 1)
3 Dy 0.6667 0.3333 0.4989 (multiplicity 1)
4 Dy 0.6667 0.3333 0.8624 (multiplicity 1)
5 Al 0.1623 0.3245 0.6792 (multiplicity 3)
6 Al 0.3333 0.6667 0.4338 (multiplicity 1)
7 Al 0.3333 0.6667 0.9303 (multiplicity 1)
8 Al 0.5045 0.0090 0.1861 (multiplicity 3)

| no. | magnetic moment (Bohr magnetons per cell) | raw total energy (eV per cell) | E_form (kJ/mol of atoms) |
| --- | --- | --- | --- |
| 1 | 0.00 | -73.17 | -12 |
| 2 | 0.00 | -72.43 | -3 |
| 3 | 1.32 | -91.13 | -42 |
| 4 | 0.00 | -109.72 | -37 |
| 5 | 0.00 | -45.75 | -37 |
| 6 | 0.00 | -40.81 | -45 |
| 7 | 0.00 | -157.10 | -38 |
| 8 | 0.00 | -54.48 | -48 |